[1]
Li2TePtO6 | GGA-PBE | optimized geometry

Properties
The uncorrected formation energy is -864 kJ/mol of formula units. The space group is P4mm.

a b c (Å): 3.9815 5.6385 5.6385
angles (deg): 90.00 90.00 90.00
Site moments in Bohr magnetons follow the coordinates.
Positions (direct):
Te 0.6582 0.0000 0.0000  0.00
Li 0.9065 0.5000 0.0000  0.00
O 0.7389 0.7558 0.2442  0.00
O 0.1748 0.5000 0.5000  0.43
O 0.7389 0.2442 0.2442  0.00
Pt 0.6643 0.5000 0.5000  0.35
O 0.1807 0.0000 0.0000  0.01
O 0.7389 0.7558 0.7558  0.00
Li 0.9065 0.0000 0.5000  0.00
O 0.7389 0.2442 0.7558  0.00



[2]
LiTePtO6 | GGA-PBE | optimized geometry

Properties
The uncorrected formation energy is -797 kJ/mol of formula units. The space group is P-31c.

a b c (Å): 5.2248 5.2248 9.2782
angles (deg): 90.00 90.00 120.00
Site moments in Bohr magnetons follow the coordinates.
Positions (direct):
Pt 0.6667 0.3333 0.7500  0.20
O 0.3544 0.9957 0.6353  0.07
O 0.6414 0.9957 0.8647  0.07
O 0.3586 0.0043 0.1353  0.07
Te 0.6667 0.3333 0.2500  -0.01
O 0.9957 0.6414 0.3647  0.07
O 0.6414 0.6456 0.6353  0.07
O 0.3544 0.3586 0.8647  0.07
O 0.3586 0.3544 0.3647  0.07
O 0.6456 0.0043 0.3647  0.07
Li 0.0000 0.0000 0.0000  0.00
O 0.9957 0.3544 0.1353  0.07
O 0.0043 0.6456 0.8647  0.07
Te 0.3333 0.6667 0.7500  -0.01
O 0.6456 0.6414 0.1353  0.07
Pt 0.3333 0.6667 0.2500  0.20
Li 0.0000 0.0000 0.5000  0.00
O 0.0043 0.3586 0.6353  0.07



[3]
LiTe2PtO8 | GGA-PBE | optimized geometry

Properties
The uncorrected formation energy is -585 kJ/mol of formula units. The space group is I-4m2.

a b c (Å): 5.9412 5.9412 5.9412
angles (deg): 109.07 109.07 110.28
Site moments in Bohr magnetons follow the coordinates.
Positions (direct):
Li 0.0000 0.0000 0.0000  0.00
O 0.4894 0.6932 0.7962  0.07
Te 0.7500 0.2500 0.5000  -0.01
O 0.7711 0.0700 0.7011  0.09
O 0.9300 0.6312 0.7011  0.09
Te 0.5000 0.5000 0.0000  -0.01
O 0.3688 0.0700 0.2989  0.09
Pt 0.2500 0.7500 0.5000  0.78
O 0.8970 0.6932 0.2038  0.07
O 0.3068 0.5106 0.2038  0.07
O 0.9300 0.2289 0.2989  0.09
O 0.3068 0.1030 0.7962  0.07



[4]
Li4ThPt3O12 | GGA-PBE | optimized geometry

Properties
The uncorrected formation energy is -2128 kJ/mol of formula units. The space group is Im-3.

a b c (Å): 6.5365 6.5365 6.5365
angles (deg): 109.47 109.47 109.47
Site moments in Bohr magnetons follow the coordinates.
Positions (direct):
Li 0.0000 0.5000 0.0000  0.03
O 0.1661 0.8586 0.6925  0.34
Pt 0.5000 0.5000 0.0000  0.97
O 0.4736 0.3075 0.1661  0.34
Pt 0.5000 0.0000 0.5000  0.97
Th 0.0000 0.0000 0.0000  0.04
O 0.1661 0.4736 0.3075  0.34
Li 0.5000 0.5000 0.5000  0.03
O 0.8339 0.1414 0.3075  0.34
O 0.3075 0.8339 0.1414  0.34
O 0.5264 0.6925 0.8339  0.34
O 0.6925 0.8339 0.5264  0.34
O 0.8339 0.5264 0.6925  0.34
O 0.8586 0.6925 0.1661  0.34
Pt 0.0000 0.5000 0.5000  0.97
Li 0.0000 0.0000 0.5000  0.03
O 0.1414 0.3075 0.8339  0.34
O 0.6925 0.1661 0.8586  0.34
O 0.3075 0.1661 0.4736  0.34
Li 0.5000 0.0000 0.0000  0.03



[5]
LiThPtO4 | GGA-PBE | optimized geometry

Properties
The uncorrected formation energy is -1346 kJ/mol of formula units. The space group is Imma.

a b c (Å): 6.2745 6.6782 7.3211
angles (deg): 123.24 90.00 118.02
Site moments in Bohr magnetons follow the coordinates.
Positions (direct):
Pt 0.0000 0.5000 0.5000  0.54
O 0.2456 0.4912 0.3086  0.02
O 0.7015 0.9559 0.2279  0.16
O 0.2544 0.9559 0.2279  0.16
O 0.2985 0.0441 0.7721  0.16
Pt 0.5000 0.5000 0.5000  0.54
O 0.7456 0.0441 0.7721  0.16
Li 0.1026 0.2053 0.8526  0.00
O 0.7544 0.5088 0.6914  0.02
O 0.7544 0.5088 0.3175  0.02
O 0.2456 0.4912 0.6825  0.02
Li 0.8974 0.7947 0.1474  0.00
Th 0.5000 0.0000 0.5000  -0.01
Th 0.5000 0.0000 0.0000  -0.01



[6]
LiTiPtO4 | GGA-PBE | optimized geometry

Properties
The uncorrected formation energy is -1202 kJ/mol of formula units. The space group is Imma.

a b c (Å): 6.1594 6.2555 5.8789
angles (deg): 118.03 90.00 119.49
Site moments in Bohr magnetons follow the coordinates.
Positions (direct):
O 0.7234 0.4468 0.7029  0.03
O 0.6993 0.9737 0.2369  0.13
Ti 0.5000 0.0000 0.0000  0.01
O 0.2766 0.5532 0.7561  0.03
O 0.7234 0.4468 0.2439  0.03
Pt 0.5000 0.5000 0.5000  0.59
Li 0.1318 0.2635 0.8818  0.00
Li 0.8682 0.7365 0.1182  0.00
O 0.2766 0.5532 0.2971  0.03
O 0.2745 0.9738 0.2369  0.13
Ti 0.5000 0.0000 0.5000  0.01
O 0.7255 0.0262 0.7631  0.13
O 0.3007 0.0263 0.7631  0.13
Pt 0.0000 0.5000 0.5000  0.59



[7]
Li3Tl2PtO6 | GGA-PBE | optimized geometry

Properties
The uncorrected formation energy is -1257 kJ/mol of formula units. The space group is C2/m.

a b c (Å): 5.9910 5.9910 5.2665
angles (deg): 98.52 98.52 123.45
Positions (direct):
O 0.3471 0.0751 0.2433
O 0.2304 0.2304 0.7703
Li 0.8809 0.1191 0.5000
Li 0.1191 0.8809 0.5000
O 0.9249 0.6529 0.7567
O 0.7696 0.7696 0.2297
O 0.0751 0.3471 0.2433
Pt 0.0000 0.0000 0.0000
Li 0.5000 0.5000 0.5000
Tl 0.6734 0.3266 0.0000
Tl 0.3266 0.6734 0.0000
O 0.6529 0.9249 0.7567



[8]
LiTlPtO4 | GGA-PBE | optimized geometry

Properties
The uncorrected formation energy is -629 kJ/mol of formula units. The space group is Imma.

a b c (Å): 6.2951 6.5631 6.7507
angles (deg): 120.95 90.00 118.66
Positions (direct):
Tl 0.5000 0.0000 0.5000
O 0.7764 0.0635 0.2817
O 0.7489 0.4979 0.3019
O 0.2871 0.0635 0.2817
O 0.7129 0.9365 0.7183
O 0.2236 0.9365 0.7183
Pt 0.5000 0.5000 0.5000
Tl 0.5000 0.0000 0.0000
O 0.7489 0.4979 0.6959
Pt 0.0000 0.5000 0.5000
O 0.2511 0.5021 0.3041
O 0.2511 0.5021 0.6981
Li 0.0835 0.1670 0.8335
Li 0.9165 0.8330 0.1665



[9]
Li2Tl2PtO6 | GGA-PBE | optimized geometry

Properties
The uncorrected formation energy is -1078 kJ/mol of formula units. The space group is C2/m.

a b c (Å): 5.8368 5.8368 5.1944
angles (deg): 96.69 96.69 120.40
Positions (direct):
Tl 0.6642 0.3358 0.5000
O 0.7619 0.7619 0.7271
Tl 0.3358 0.6642 0.5000
O 0.6664 0.9638 0.2816
O 0.3336 0.0362 0.7184
O 0.2381 0.2381 0.2729
Li 0.8761 0.1239 0.0000
O 0.9638 0.6664 0.2816
Li 0.1239 0.8761 0.0000
Pt 0.0000 0.0000 0.5000
O 0.0362 0.3336 0.7184



[10]
Li3Tm3PtO8 | GGA-PBE | optimized geometry

Properties
The uncorrected formation energy is -3566 kJ/mol of formula units. The space group is R-3m.

a b c (Å): 6.5279 6.5273 6.2443
angles (deg): 121.52 90.00 120.00
Positions (direct):
O 0.2322 0.0009 0.2697
O 0.7687 0.0009 0.2697
O 0.7687 0.5373 0.2697
O 0.7678 0.9991 0.7303
O 0.2313 0.9991 0.7303
O 0.2572 0.5144 0.2717
Tm 0.5000 0.0000 0.5000
O 0.7428 0.4856 0.7283
Li 0.0000 0.5000 0.0000
Li 0.5000 0.5000 0.0000
Tm 0.5000 0.5000 0.5000
Li 0.0000 0.0000 0.0000
Tm 0.0000 0.5000 0.5000
O 0.2313 0.4627 0.7303
Pt 0.0000 0.0000 0.5000



Calculated volume, 126.6 219.3 161.4 215.0 212.3 166.0 149.8 198.3 148.4 183.7 Å³/cell (same order as the records).